DFT (PBE) results for a relaxed structure of HgIr3Br.

a b c (Å): 4.6461 4.6461 4.6461
angles (deg): 90.00 90.00 90.00
With the nearest neighbours (Å) after each atom.
Atoms (fractional coordinates):
Hg 0.0000 0.0000 0.0000  12 Ir 3.29
Ir 0.0000 0.5000 0.5000  2 Br 2.32
Ir 0.5000 0.0000 0.5000  2 Br 2.32
Ir 0.5000 0.5000 0.0000  2 Br 2.32
Br 0.5000 0.5000 0.5000  6 Ir 2.32

Its excess energy over the best structure of this formula in the dataset is 0.00 eV/f.u.

***

DFT (PBE) results for a relaxed structure of HgIrBr.

a b c (Å): 4.5654 4.5654 3.3362
angles (deg): 90.00 90.00 120.00
With the nearest neighbours (Å) after each atom.
Atoms (fractional coordinates):
Hg 0.0000 0.0000 0.0000  6 Br 3.12, 6 Ir 3.12, 2 Hg 3.34
Ir 0.6667 0.3333 0.5000  3 Br 2.64
Br 0.3333 0.6667 0.5000  3 Ir 2.64

Its excess energy over the best structure of this formula in the dataset is 0.43 eV/f.u.

***

DFT (PBE) results for a relaxed structure of HgIrBr.

a b c (Å): 4.5818 4.5818 4.5818
angles (deg): 60.00 60.00 60.00
With the nearest neighbours (Å) after each atom.
Atoms (fractional coordinates):
Hg 0.0000 0.0000 0.0000  4 Ir 2.81
Ir 0.2500 0.2500 0.2500  4 Br 2.81, 4 Hg 2.81
Br 0.5000 0.5000 0.5000  4 Ir 2.81

Its excess energy over the best structure of this formula in the dataset is 0.43 eV/f.u.

***

DFT (PBE) results for a relaxed structure of HgIrBr.

a b c (Å): 6.6903 6.6903 6.6903
angles (deg): 152.45 152.45 39.36
With the nearest neighbours (Å) after each atom.
Atoms (fractional coordinates):
Hg 0.0000 0.0000 0.0000  4 Ir 2.82
Ir 0.6351 0.6351 0.0000  4 Hg 2.82, 4 Br 2.87
Br 0.2760 0.2760 0.0000  4 Ir 2.87, 4 Br 3.19

Its excess energy over the best structure of this formula in the dataset is 0.28 eV/f.u.

***

DFT (PBE) results for a relaxed structure of La6HgIr2Br3.

a b c (Å): 10.2301 10.2301 9.3984
angles (deg): 108.34 108.34 24.06
With the nearest neighbours (Å) after each atom.
Atoms (fractional coordinates):
La 0.0208 0.0208 0.2581  1 Ir 2.80
La 0.3176 0.3176 0.4414  3 Ir 2.83-2.93
La 0.3357 0.3357 0.8741  2 Ir 2.90, 1 Hg 3.12
La 0.6643 0.6643 0.1259  2 Ir 2.90, 1 Hg 3.12
La 0.6824 0.6824 0.5586  3 Ir 2.83-2.93
La 0.9792 0.9792 0.7419  1 Ir 2.80
Hg 0.5000 0.5000 0.0000  6 La 3.12-3.15
Ir 0.1682 0.1682 0.3377  6 La 2.80-2.93
Ir 0.8318 0.8318 0.6623  6 La 2.80-2.93
Br 0.1640 0.1640 0.8383  6 La 3.34-3.51
Br 0.5000 0.5000 0.5000  6 La 3.24-3.51
Br 0.8360 0.8360 0.1617  6 La 3.34-3.51

***

DFT (PBE) results for a relaxed structure of LaHgIr2Br.

a b c (Å): 4.7315 4.7315 5.5408
angles (deg): 90.00 90.00 90.00
With the nearest neighbours (Å) after each atom.
Atoms (fractional coordinates):
La 0.0000 0.0000 0.0000  4 Hg 3.35, 8 Ir 3.64
Hg 0.5000 0.5000 0.0000  2 Br 2.77
Ir 0.0000 0.5000 0.5000  2 Br 2.37
Ir 0.5000 0.0000 0.5000  2 Br 2.37
Br 0.5000 0.5000 0.5000  4 Ir 2.37

***

DFT (PBE) results for a relaxed structure of HgIrPb2Br.

a b c (Å): 5.2694 5.2694 5.3599
angles (deg): 90.00 90.00 90.00
With the nearest neighbours (Å) after each atom.
Atoms (fractional coordinates):
Hg 0.0000 0.0000 0.0000  2 Ir 2.68
Ir 0.0000 0.0000 0.5000  4 Pb 2.63, 2 Hg 2.68
Pb 0.0000 0.5000 0.5000  2 Ir 2.63
Pb 0.5000 0.0000 0.5000  2 Ir 2.63
Br 0.5000 0.5000 0.0000  4 Hg 3.73, 8 Pb 3.76

***

DFT (PBE) results for a relaxed structure of Pm6HgIr2Br3.

a b c (Å): 10.1566 10.1566 9.1870
angles (deg): 108.27 108.27 23.55
With the nearest neighbours (Å) after each atom.
Atoms (fractional coordinates):
Pm 0.0224 0.0224 0.2580  1 Ir 2.74
Pm 0.3163 0.3163 0.4390  3 Ir 2.80-2.86
Pm 0.3379 0.3379 0.8742  2 Ir 2.83, 1 Hg 3.06
Pm 0.6621 0.6621 0.1258  2 Ir 2.83, 1 Hg 3.06
Pm 0.6837 0.6837 0.5610  3 Ir 2.80-2.86
Pm 0.9776 0.9776 0.7420  1 Ir 2.74
Hg 0.5000 0.5000 0.0000  6 Pm 3.06-3.07
Ir 0.1676 0.1676 0.3385  6 Pm 2.74-2.86
Ir 0.8324 0.8324 0.6615  6 Pm 2.74-2.86
Br 0.1667 0.1667 0.8402  6 Pm 3.32-3.58
Br 0.5000 0.5000 0.5000  6 Pm 3.17-3.51
Br 0.8333 0.8333 0.1598  6 Pm 3.32-3.58

***

Number 1: spin magnetization 0.0 μB/f.u., raw formation energy 1.78 eV per atom, V 100.29 Å³/cell. Number 2: spin magnetization 0.0 μB/f.u., raw formation energy 0.82 eV per atom, V 60.22 Å³/cell. Number 3: spin magnetization 0.0 μB/f.u., raw formation energy 0.83 eV per atom, V 68.01 Å³/cell. Number 4: spin magnetization 0.0 μB/f.u., raw formation energy 0.78 eV per atom, V 63.97 Å³/cell. Number 5: spin magnetization 0.0 μB/f.u., raw formation energy -1.10 eV per atom, V 379.70 Å³/cell. Number 6: spin magnetization 0.0 μB/f.u., raw formation energy 0.78 eV per atom, V 124.04 Å³/cell. Number 7: spin magnetization 0.0 μB/f.u., raw formation energy -0.12 eV per atom, V 148.82 Å³/cell. Number 8: spin magnetization 0.0 μB/f.u., raw formation energy -0.99 eV per atom, V 358.68 Å³/cell.